Entry from the Alexandria database: crystalline Sr2MoPbO5 at its relaxed geometry (GGA+U).

## Properties
- Final energy: -6.216 eV per atom
- SG: No. 127
- Calculated volume: 297.80 Å³ per cell
- Spin magnetization: 0.00 μB per formula unit

Unit cell a=7.0556 b=7.0556 c=5.9821 alpha=90.00 beta=90.00 gamma=90.00
Last column: nearest neighbours and their distance in Å.
Atoms (fractional coordinates):
Sr1 0.1796 0.3204 0.0000  8 O 2.48-2.76
Sr2 0.3204 0.8204 0.0000  8 O 2.48-2.76
Sr3 0.6796 0.1796 0.0000  8 O 2.48-2.76
Sr4 0.8204 0.6796 0.0000  8 O 2.48-2.76
Mo1 0.0000 0.5000 0.5000  4 O 1.90
Mo2 0.5000 0.0000 0.5000  4 O 1.90
Pb1 0.0000 0.0000 0.5000  10 O 2.99-3.07
Pb2 0.5000 0.5000 0.5000  10 O 2.99-3.07
O1 0.0000 0.0000 0.0000  4 Sr 2.59
O2 0.1330 0.6330 0.2727  1 Mo 1.90
O3 0.1330 0.6330 0.7273  1 Mo 1.90
O4 0.3670 0.1330 0.2727  1 Mo 1.90
O5 0.3670 0.1330 0.7273  1 Mo 1.90
O6 0.5000 0.5000 0.0000  4 Sr 2.59
O7 0.6330 0.8670 0.2727  1 Mo 1.90
O8 0.6330 0.8670 0.7273  1 Mo 1.90
O9 0.8670 0.3670 0.2727  1 Mo 1.90
O10 0.8670 0.3670 0.7273  1 Mo 1.90